No. 1
The following is a DFT calculation (PBE-GGA) of Ce2CN after structural relaxation.

Cell lengths 3.627, 3.627, 5.123 Å; angles 90.00, 90.00, 90.00 degrees
Last column: magnetic moment on the atom in μB.
Element x y z (fractional)
1 Ce 0.000 0.000 0.000  0.10
2 Ce 0.500 0.500 0.500  0.06
3 C 0.000 0.000 0.500  -0.01
4 N 0.500 0.500 0.000  -0.01

The distance to the lowest polymorph of the same formula is 2.2 meV per atom.



No. 2
The following is a DFT calculation (PBE-GGA) of Y2BeO after structural relaxation.

Cell lengths 6.441, 6.441, 6.069 Å; angles 57.95, 57.95, 90.00 degrees
Element x y z (fractional)
1 Y 0.689 0.125 0.250
2 Y 0.061 0.625 0.250
3 Y 0.375 0.311 0.750
4 Y 0.875 0.939 0.750
5 Be 0.500 0.500 0.000
6 Be 0.250 0.750 0.500
7 O 0.000 0.000 0.000
8 O 0.750 0.250 0.500

The distance to the lowest polymorph of the same formula is 0.0 meV per atom.



No. 3
The following is a DFT calculation (PBE-GGA) of TlHg4Pb5 after structural relaxation.

Cell lengths 3.425, 11.058, 8.454 Å; angles 71.38, 101.69, 90.00 degrees
Element x y z (fractional)
1 Tl 0.500 0.000 0.000
2 Hg 0.795 0.099 0.590
3 Hg 0.110 0.187 0.219
4 Hg 0.205 0.901 0.410
5 Hg 0.890 0.813 0.781
6 Pb 0.209 0.389 0.419
7 Pb 0.092 0.706 0.184
8 Pb 0.908 0.294 0.816
9 Pb 0.500 0.500 0.000
10 Pb 0.791 0.611 0.581

The distance to the lowest polymorph of the same formula is 8.2 meV per atom.



No. 4
The following is a DFT calculation (PBE-GGA) of AcSmYCd after structural relaxation.

Cell lengths 3.806, 3.806, 9.017 Å; angles 90.00, 90.00, 90.00 degrees
Element x y z (fractional)
1 Ac 0.000 0.000 0.074
2 Sm 0.500 0.500 0.780
3 Y 0.500 0.500 0.365
4 Cd 0.000 0.000 0.565

The distance to the lowest polymorph of the same formula is 0.0 meV per atom.



No. 5
The following is a DFT calculation (PBE-GGA) of KBaZn2 after structural relaxation.

Cell lengths 6.570, 6.570, 5.845 Å; angles 63.63, 63.63, 36.36 degrees
Element x y z (fractional)
1 Ba 0.470 0.470 0.530
2 K 0.277 0.277 0.223
3 Zn 0.059 0.059 0.942
4 Zn 0.694 0.694 0.806

The distance to the lowest polymorph of the same formula is 37.6 meV per atom.



No. 6
The following is a DFT calculation (PBE-GGA) of LaMnTl2Ga after structural relaxation.

Cell lengths 5.135, 4.755, 5.135 Å; angles 90.00, 90.00, 90.00 degrees
Last column: magnetic moment on the atom in μB.
Element x y z (fractional)
1 Tl 0.000 0.000 0.500  -0.04
2 Tl 0.500 0.000 0.000  -0.07
3 Mn 0.000 0.000 0.000  2.25
4 Ga 0.000 0.500 0.000  -0.09
5 La 0.500 0.500 0.500  -0.01

For the total energy, the calculation gives -21.99 eV/cell.



No. 7
The following is a DFT calculation (PBE-GGA) of ZrPPb after structural relaxation.

Cell lengths 4.436, 4.436, 4.141 Å; angles 90.00, 90.00, 120.00 degrees
Element x y z (fractional)
1 Zr 0.333 0.667 0.500
2 P 0.000 0.000 0.500
3 Pb 0.667 0.333 0.000

The distance to the lowest polymorph of the same formula is 269.2 meV per atom.



No. 8
The following is a DFT calculation (PBE-GGA) of AgW2S after structural relaxation.

Cell lengths 3.776, 3.776, 9.967 Å; angles 79.08, 79.08, 90.00 degrees
Element x y z (fractional)
1 S 0.500 0.500 0.000
2 S 0.250 0.750 0.500
3 Ag 0.000 0.000 0.000
4 Ag 0.750 0.250 0.500
5 W 0.616 0.125 0.250
6 W 0.134 0.625 0.250
7 W 0.375 0.384 0.750
8 W 0.875 0.866 0.750

For the total energy, the calculation gives -58.39 eV/cell.



| no. | ρ (g/cm3) | M_tot (μB per atom) |
| --- | --- | --- |
| 1 | 7.55 | 0.043 |
| 2 | 4.05 | 0.000 |
| 3 | 11.44 | 0.000 |
| 4 | 7.36 | 0.000 |
| 5 | 3.86 | 0.000 |
| 6 | 8.91 | 0.400 |
| 7 | 7.75 | 0.000 |
| 8 | 12.31 | 0.000 |